A plane-wave DFT calculation with PBE was carried out for a relaxed PuAgAu crystal.

Lattice parameters (Å, degrees): 4.9533 4.9533 3.0349 90.00 90.00 120.00
Space group P-6m2 (No. 187)
Inequivalent atoms, fractional coordinates:
Pu: 0.0000 0.0000 0.0000 x1
Ag: 0.3333 0.6667 0.5000 x1
Au: 0.6667 0.3333 0.5000 x1

ΔH_f (0 K)	-0.263	eV/atom
theoretical density	14.13	g/cm3
total magnetic moment	5.95	μB/f.u.
ΔE to the lowest computed polymorph	0.0	meV/atom
E	-21.250	eV/cell